{"formula": "Li2ZrCu2S4", "functional": "PBE", "state": "optimized geometry", "density_g_cm3": 3.86, "raw_formation_energy_ev_per_atom": -1.0335, "sg": "C2/m", "lattice": [[3.6743, 0.0000, 0.0000], [0.0000, 7.0468, -0.3660], [-1.8372, -3.1160, 6.1483]], "species": ["Zr", "S", "S", "S", "S", "Li", "Li", "Cu", "Cu"], "frac_coords": [[0.0000, 0.0000, 0.0000], [0.7795, 0.7812, 0.5591], [0.2205, 0.2188, 0.4409], [0.5108, 0.2688, 0.0215], [0.4892, 0.7312, 0.9785], [0.8459, 0.4694, 0.6918], [0.1541, 0.5306, 0.3082], [0.3247, 0.0236, 0.6493], [0.6753, 0.9764, 0.3507]]}